No. 1
# Th3TlRu

Th3TlRu after structural relaxation (PBE, Alexandria via LeMat-Bulk).

The calculation puts the energy above the most stable polymorph in this dataset at 18 meV per atom.

The structure in POSCAR format:
```
Th3TlRu
1.0
12.297 0.000 0.000
0.000 6.932 0.000
0.000 0.000 6.589
Th Tl Ru
12 4 4
Direct
0.008 0.250 0.000
0.008 0.250 0.500
0.242 0.005 0.250
0.242 0.495 0.750
0.457 0.089 0.750
0.457 0.411 0.250
0.543 0.589 0.750
0.543 0.911 0.250
0.758 0.505 0.250
0.758 0.995 0.750
0.992 0.750 0.000
0.992 0.750 0.500
0.195 0.518 0.250
0.195 0.982 0.750
0.805 0.018 0.250
0.805 0.482 0.750
0.372 0.750 0.000
0.372 0.750 0.500
0.628 0.250 0.000
0.628 0.250 0.500
```

=====

No. 2
# CsSb4Au6

CsSb4Au6 after structural relaxation (PBE, Alexandria via LeMat-Bulk).

For the uncorrected formation energy, the calculation gives 0.6 meV/atom.

The structure in POSCAR format:
```
CsSb4Au6
1.0
-3.722 3.722 5.258
3.722 -3.722 5.258
3.722 3.722 -5.258
Cs Sb Au
1 4 6
Direct
0.000 0.000 0.000
0.168 0.539 0.000
0.461 0.461 0.629
0.539 0.168 0.000
0.832 0.832 0.371
0.000 0.500 0.500
0.184 0.184 0.622
0.438 0.816 0.000
0.500 0.000 0.500
0.562 0.562 0.378
0.816 0.438 0.000
```

=====

no.,energy (eV per cell)
1,-139.24
2,-37.00